(1)
A relaxed structure of HfMgGeI2, computed with GGA-PBE.

The value obtained for the volume is 31.1 Å³ per atom. The calculation puts the uncorrected formation energy at 0.73 eV/atom. For the density, the calculation gives 5.65 Mg/m³.

It has space group P4/mmm (No. 123), with a = 5.480 Å, b = 5.480 Å, c = 5.183 Å, α = 90.00°, β = 90.00° and γ = 90.00°. The asymmetric unit holds Hf at (0.000, 0.000, 0.000), Mg at (0.500, 0.500, 0.500), Ge at (0.500, 0.500, 0.000) and I at (0.000, 0.500, 0.500).

(2)
A relaxed structure of NaHf2GeI, computed with GGA-PBE.

The value obtained for the volume is 27.6 Å³ per atom. The calculation puts the uncorrected formation energy at 1.59 eV/atom. For the density, the calculation gives 6.98 Mg/m³.

It has space group P4/mmm (No. 123), with a = 5.242 Å, b = 5.242 Å, c = 5.015 Å, α = 90.00°, β = 90.00° and γ = 90.00°. The asymmetric unit holds Na at (0.000, 0.000, 0.000), Hf at (0.000, 0.500, 0.000), Ge at (0.500, 0.500, 0.500) and I at (0.000, 0.000, 0.500).

(3)
A relaxed structure of HfGeIO2, computed with GGA-PBE.

The value obtained for the volume is 20.7 Å³ per atom. The calculation puts the uncorrected formation energy at -1.28 eV/atom. The value obtained for the polymorph energy (0 for the lowest one) is 0.000 eV/atom. For the density, the calculation gives 6.57 Mg/m³.

It has space group P4/mmm (No. 123), with a = 4.107 Å, b = 4.107 Å, c = 6.147 Å, α = 90.00°, β = 90.00° and γ = 90.00°. The asymmetric unit holds Hf at (0.000, 0.000, 0.000), Ge at (0.500, 0.500, 0.500), I at (0.000, 0.000, 0.500) and O at (0.000, 0.500, 0.000).

(4)
A relaxed structure of HfGeIO2, computed with GGA-PBE.

The value obtained for the volume is 17.8 Å³ per atom. The calculation puts the uncorrected formation energy at 0.04 eV/atom. The value obtained for the polymorph energy (0 for the lowest one) is 1.329 eV/atom. For the density, the calculation gives 7.64 Mg/m³.

It has space group P4/mmm (No. 123), with a = 4.035 Å, b = 4.035 Å, c = 5.473 Å, α = 90.00°, β = 90.00° and γ = 90.00°. The asymmetric unit holds Hf at (0.000, 0.000, 0.000), Ge at (0.500, 0.500, 0.500), I at (0.500, 0.500, 0.000) and O at (0.000, 0.500, 0.500).

(5)
A relaxed structure of HfGePt2I, computed with GGA-PBE.

The value obtained for the volume is 23.7 Å³ per atom. The calculation puts the uncorrected formation energy at 0.62 eV/atom. For the density, the calculation gives 10.76 Mg/m³.

It has space group P4/mmm (No. 123), with a = 4.668 Å, b = 4.668 Å, c = 5.441 Å, α = 90.00°, β = 90.00° and γ = 90.00°. The asymmetric unit holds Hf at (0.000, 0.000, 0.000), Ge at (0.500, 0.500, 0.500), Pt at (0.000, 0.500, 0.500) and I at (0.500, 0.500, 0.000).

(6)
A relaxed structure of HfGeSbI2, computed with GGA-PBE.

The value obtained for the volume is 32.9 Å³ per atom. The calculation puts the uncorrected formation energy at 0.80 eV/atom. The value obtained for the polymorph energy (0 for the lowest one) is 0.477 eV/atom. For the density, the calculation gives 6.32 Mg/m³.

It has space group P4/mmm (No. 123), with a = 5.449 Å, b = 5.449 Å, c = 5.547 Å, α = 90.00°, β = 90.00° and γ = 90.00°. The asymmetric unit holds Hf at (0.000, 0.000, 0.000), Ge at (0.500, 0.500, 0.500), Sb at (0.500, 0.500, 0.000) and I at (0.000, 0.500, 0.500).

(7)
A relaxed structure of HfGeSbI2, computed with GGA-PBE.

The value obtained for the volume is 35.6 Å³ per atom. The calculation puts the uncorrected formation energy at 0.32 eV/atom. The value obtained for the polymorph energy (0 for the lowest one) is 0.000 eV/atom. For the density, the calculation gives 5.84 Mg/m³.

It has space group P4/mmm (No. 123), with a = 5.549 Å, b = 5.549 Å, c = 5.783 Å, α = 90.00°, β = 90.00° and γ = 90.00°. The asymmetric unit holds Hf at (0.000, 0.000, 0.000), Ge at (0.500, 0.500, 0.500), Sb at (0.000, 0.000, 0.500) and I at (0.000, 0.500, 0.000).

(8)
A relaxed structure of HfGeTeI2, computed with GGA-PBE.

The value obtained for the volume is 36.0 Å³ per atom. The calculation puts the uncorrected formation energy at 0.14 eV/atom. The value obtained for the polymorph energy (0 for the lowest one) is 0.000 eV/atom. For the density, the calculation gives 5.84 Mg/m³.

It has space group P4/mmm (No. 123), with a = 5.661 Å, b = 5.661 Å, c = 5.614 Å, α = 90.00°, β = 90.00° and γ = 90.00°. The asymmetric unit holds Hf at (0.000, 0.000, 0.000), Ge at (0.500, 0.500, 0.500), Te at (0.000, 0.000, 0.500) and I at (0.000, 0.500, 0.000).

(9)
A relaxed structure of HfGeTeI2, computed with GGA-PBE.

The value obtained for the volume is 33.8 Å³ per atom. The calculation puts the uncorrected formation energy at 0.69 eV/atom. The value obtained for the polymorph energy (0 for the lowest one) is 0.545 eV/atom. For the density, the calculation gives 6.21 Mg/m³.

It has space group P4/mmm (No. 123), with a = 5.475 Å, b = 5.475 Å, c = 5.642 Å, α = 90.00°, β = 90.00° and γ = 90.00°. The asymmetric unit holds Hf at (0.000, 0.000, 0.000), Ge at (0.500, 0.500, 0.500), Te at (0.500, 0.500, 0.000) and I at (0.000, 0.500, 0.500).

(10)
A relaxed structure of Hf6InGe3, computed with GGA-PBE.

The value obtained for the volume is 20.5 Å³ per atom. As for the formation energy: -367 meV/atom. For the density, the calculation gives 11.34 Mg/m³.

It has space group Cmc2_1 (No. 36), with a = 10.713 Å, b = 10.939 Å, c = 7.014 Å, α = 90.00°, β = 90.00° and γ = 90.00°. The asymmetric unit holds Hf at (0.000, 0.080, 0.000), Hf at (0.000, 0.209, 0.454), Hf at (0.148, 0.450, 0.506), Hf at (0.249, 0.204, 0.672), In at (0.000, 0.320, 0.822), Ge at (0.000, 0.381, 0.193) and Ge at (0.175, 0.058, 0.293).

(11)
A relaxed structure of Hf6InGe, computed with GGA-PBE.

The value obtained for the volume is 22.7 Å³ per atom. As for the formation energy: 209 meV/atom. For the density, the calculation gives 11.52 Mg/m³.

It has space group C2/m (No. 12), with a = 6.231 Å, b = 10.985 Å, c = 6.068 Å, α = 90.00°, β = 119.18° and γ = 90.00°. The asymmetric unit holds Hf at (0.009, 0.224, 0.248), Hf at (0.024, 0.500, 0.762), In at (0.000, 0.000, 0.500) and Ge at (0.000, 0.000, 0.000).

(12)
A relaxed structure of Hf4InGe, computed with GGA-PBE.

The value obtained for the volume is 21.1 Å³ per atom. As for the formation energy: -280 meV/atom. For the density, the calculation gives 11.81 Mg/m³.

It has space group C2/c (No. 15), with a = 7.762 Å, b = 12.401 Å, c = 5.600 Å, α = 90.00°, β = 109.83° and γ = 90.00°. The asymmetric unit holds Hf at (0.095, 0.188, 0.051), Hf at (0.207, 0.398, 0.363), In at (0.000, 0.393, 0.750) and Ge at (0.000, 0.002, 0.750).

(13)
A relaxed structure of Hf8In2Ge, computed with GGA-PBE.

The value obtained for the volume is 22.4 Å³ per atom. As for the formation energy: 52 meV/atom. For the density, the calculation gives 11.66 Mg/m³.

It has space group C2/m (No. 12), with a = 7.562 Å, b = 13.479 Å, c = 5.344 Å, α = 90.00°, β = 115.19° and γ = 90.00°. The asymmetric unit holds Hf at (0.000, 0.211, 0.000), Hf at (0.098, 0.500, 0.792), Hf at (0.210, 0.109, 0.677), In at (0.000, 0.303, 0.500) and Ge at (0.000, 0.000, 0.000).

(14)
A relaxed structure of HfIn3Ge, computed with GGA-PBE.

The value obtained for the volume is 28.1 Å³ per atom. As for the formation energy: 821 meV/atom. For the density, the calculation gives 7.03 Mg/m³.

It has space group Pm-3m (No. 221), with a = 5.201 Å, b = 5.201 Å, c = 5.201 Å, α = 90.00°, β = 90.00° and γ = 90.00°. The asymmetric unit holds Hf at (0.000, 0.000, 0.000), In at (0.000, 0.500, 0.500) and Ge at (0.500, 0.500, 0.500).

(15)
A relaxed structure of HfIn3Ge, computed with GGA-PBE.

The value obtained for the volume is 33.9 Å³ per atom. As for the formation energy: 822 meV/atom. For the density, the calculation gives 5.83 Mg/m³.

It has space group Pm-3m (No. 221), with a = 5.536 Å, b = 5.536 Å, c = 5.536 Å, α = 90.00°, β = 90.00° and γ = 90.00°. The asymmetric unit holds Hf at (0.000, 0.000, 0.000), In at (0.000, 0.000, 0.500) and Ge at (0.500, 0.500, 0.500).

(16)
A relaxed structure of Hf2InGe2, computed with GGA-PBE.

The value obtained for the volume is 20.7 Å³ per atom. As for the formation energy: -190 meV/atom. For the density, the calculation gives 9.90 Mg/m³.

It has space group I4/mmm (No. 139), with a = 3.640 Å, b = 3.640 Å, c = 15.623 Å, α = 90.00°, β = 90.00° and γ = 90.00°. The asymmetric unit holds Hf at (0.000, 0.000, 0.112), In at (0.000, 0.000, 0.500) and Ge at (0.000, 0.500, 0.250).

(17)
A relaxed structure of HfInGe2, computed with GGA-PBE.

The value obtained for the volume is 21.6 Å³ per atom. As for the formation energy: 143 meV/atom. For the density, the calculation gives 8.41 Mg/m³.

It has space group I-42d (No. 122), with a = 7.604 Å, b = 7.604 Å, c = 5.990 Å, α = 90.00°, β = 90.00° and γ = 90.00°. The asymmetric unit holds Hf at (0.000, 0.000, 0.000), In at (0.000, 0.000, 0.500) and Ge at (0.244, 0.250, 0.125).

(18)
A relaxed structure of Hf6In2Ge, computed with GGA-PBE.

The value obtained for the volume is 21.5 Å³ per atom. As for the formation energy: -276 meV/atom. For the density, the calculation gives 11.77 Mg/m³.

It has space group P-62m (No. 189), with a = 7.8096 Å, b = 7.8096 Å, c = 3.6681 Å, α = 90.00°, β = 90.00° and γ = 120.00°. The asymmetric unit holds Hf at (0.0000, 0.2550, 0.0000), Hf at (0.0000, 0.6126, 0.5000), In at (0.3333, 0.6667, 0.0000) and Ge at (0.0000, 0.0000, 0.5000).

(19)
A relaxed structure of Hf3InGe, computed with GGA-PBE.

The value obtained for the volume is 24.3 Å³ per atom. As for the formation energy: 224 meV/atom. The value obtained for the polymorph energy (0 for the lowest one) is 0.427 eV/atom. For the density, the calculation gives 9.88 Mg/m³.

It has space group Pm-3m (No. 221), with a = 4.953 Å, b = 4.953 Å, c = 4.953 Å, α = 90.00°, β = 90.00° and γ = 90.00°. The asymmetric unit holds Hf at (0.000, 0.000, 0.500), In at (0.500, 0.500, 0.500) and Ge at (0.000, 0.000, 0.000).

(20)
A relaxed structure of HfInGe, computed with GGA-PBE.

The value obtained for the volume is 23.2 Å³ per atom. As for the formation energy: -49 meV/atom. For the density, the calculation gives 8.72 Mg/m³.

It has space group R-3m (No. 166, hexagonal axes), with a = 4.6389 Å, b = 4.6389 Å, c = 22.4265 Å, α = 90.00°, β = 90.00° and γ = 120.00°. The asymmetric unit holds Hf at (0.0000, 0.0000, 0.2203), In at (0.0000, 0.0000, 0.3637) and Ge at (0.0000, 0.0000, 0.0994).